1.
Compound: Sr2NbZn
Source: OQMD via LeMat-Bulk
Functional: PBE-GGA
Structure: optimized geometry

a b c (Å): 5.4029 5.4029 5.4029
angles (deg): 60.00 60.00 60.00
Closest atoms and distances in Å follow each position.
Element x y z (fractional)
Sr: 0.0000 0.0000 0.0000  4 Zn 3.31, 4 Sr 3.31
Sr: 0.2500 0.2500 0.2500  4 Nb 3.31, 4 Sr 3.31
Nb: 0.5000 0.5000 0.5000  4 Sr 3.31, 4 Zn 3.31
Zn: 0.7500 0.7500 0.7500  4 Sr 3.31, 4 Nb 3.31

Values from the calculation:
- total DFT energy (no corrections) (eV per atom) = -2.967
- space-group type = F-43m, No. 216



2.
Compound: SrNbZn
Source: OQMD via LeMat-Bulk
Functional: PBE-GGA
Structure: optimized geometry

a b c (Å): 5.1925 5.1925 5.1925
angles (deg): 60.00 60.00 60.00
Closest atoms and distances in Å follow each position.
Element x y z (fractional)
Sr: 0.0000 0.0000 0.0000  4 Nb 3.18, 4 Zn 3.18
Nb: 0.7500 0.7500 0.7500  4 Sr 3.18
Zn: 0.2500 0.2500 0.2500  4 Sr 3.18

Values from the calculation:
- total DFT energy (no corrections) (eV per atom) = -2.840
- space-group type = F-43m, No. 216



3.
Compound: Sr2ZrNb
Source: OQMD via LeMat-Bulk
Functional: PBE-GGA
Structure: optimized geometry

a b c (Å): 5.4774 5.4774 5.4774
angles (deg): 60.00 60.00 60.00
Closest atoms and distances in Å follow each position.
Element x y z (fractional)
Sr: 0.0000 0.0000 0.0000  4 Nb 3.35, 4 Sr 3.35
Sr: 0.2500 0.2500 0.2500  4 Zr 3.35, 4 Sr 3.35
Zr: 0.5000 0.5000 0.5000  4 Nb 3.35, 4 Sr 3.35
Nb: 0.7500 0.7500 0.7500  4 Sr 3.35, 4 Zr 3.35

Values from the calculation:
- total DFT energy (no corrections) (eV per atom) = -4.651
- space-group type = F-43m, No. 216



4.
Compound: Ta7Nb6
Source: OQMD via LeMat-Bulk
Functional: PBE-GGA
Structure: optimized geometry

a b c (Å): 10.2513 10.2513 10.2513
angles (deg): 30.34 30.34 30.34
Closest atoms and distances in Å follow each position.
Element x y z (fractional)
Ta: 0.0000 0.0000 0.0000  6 Nb 2.75
Ta: 0.1675 0.1675 0.1675  6 Nb 3.02-3.08, 9 Ta 3.10-3.36
Ta: 0.3516 0.3516 0.3516  7 Ta 3.06-3.28, 9 Nb 3.19
Ta: 0.4561 0.4561 0.4561  1 Ta 2.58
Ta: 0.5439 0.5439 0.5439  1 Ta 2.58
Ta: 0.6484 0.6484 0.6484  7 Ta 3.06-3.28, 9 Nb 3.19
Ta: 0.8325 0.8325 0.8325  6 Nb 3.02-3.08, 9 Ta 3.10-3.36
Nb: 0.0912 0.0912 0.5863  4 Nb 2.66-2.71, 1 Ta 2.75
Nb: 0.0912 0.5863 0.0912  4 Nb 2.66-2.71, 1 Ta 2.75
Nb: 0.4137 0.9088 0.9088  4 Nb 2.66-2.71, 1 Ta 2.75
Nb: 0.5863 0.0912 0.0912  4 Nb 2.66-2.71, 1 Ta 2.75
Nb: 0.9088 0.4137 0.9088  4 Nb 2.66-2.71, 1 Ta 2.75
Nb: 0.9088 0.9088 0.4137  4 Nb 2.66-2.71, 1 Ta 2.75

Values from the calculation:
- formation energy (kJ/mol of formula units) = 174
- space-group type = R-3m, No. 166



5.
Compound: TaNb2
Source: OQMD via LeMat-Bulk
Functional: PBE-GGA
Structure: optimized geometry

a b c (Å): 8.0167 8.0167 8.0167
angles (deg): 60.00 60.00 60.00
Closest atoms and distances in Å follow each position.
Element x y z (fractional)
Ta: 0.1250 0.1250 0.1250  4 Nb 2.45
Ta: 0.8750 0.8750 0.8750  4 Nb 2.45
Nb: 0.0000 0.0000 0.0000  2 Ta 2.45
Nb: 0.0000 0.0000 0.5000  2 Ta 2.45
Nb: 0.0000 0.5000 0.0000  2 Ta 2.45
Nb: 0.5000 0.0000 0.0000  2 Ta 2.45

Values from the calculation:
- formation energy (kJ/mol of formula units) = 1073
- space-group type = Fd-3m, No. 227



6.
Compound: TaNb2
Source: OQMD via LeMat-Bulk
Functional: PBE-GGA
Structure: optimized geometry

a b c (Å): 5.4231 5.4231 5.4231
angles (deg): 60.00 60.00 60.00
Closest atoms and distances in Å follow each position.
Element x y z (fractional)
Ta: 0.1250 0.1250 0.1250  12 Nb 3.18, 4 Ta 3.32
Ta: 0.8750 0.8750 0.8750  12 Nb 3.18, 4 Ta 3.32
Nb: 0.0000 0.5000 0.5000  6 Nb 2.71
Nb: 0.5000 0.0000 0.5000  6 Nb 2.71
Nb: 0.5000 0.5000 0.0000  6 Nb 2.71
Nb: 0.5000 0.5000 0.5000  6 Nb 2.71

Values from the calculation:
- formation energy (kJ/mol of formula units) = 39
- space-group type = Fd-3m, No. 227



7.
Compound: Ta2NbTc
Source: OQMD via LeMat-Bulk
Functional: PBE-GGA
Structure: optimized geometry

a b c (Å): 4.5880 4.5880 4.5880
angles (deg): 60.00 60.00 60.00
Closest atoms and distances in Å follow each position.
Element x y z (fractional)
Ta: 0.0000 0.0000 0.0000  4 Ta 2.81, 4 Nb 2.81
Ta: 0.2500 0.2500 0.2500  4 Tc 2.81, 4 Ta 2.81
Nb: 0.7500 0.7500 0.7500  4 Tc 2.81, 4 Ta 2.81
Tc: 0.5000 0.5000 0.5000  4 Nb 2.81, 4 Ta 2.81

Values from the calculation:
- formation energy (kJ/mol of formula units) = -69
- space-group type = F-43m, No. 216



8.
Compound: TaNb2Tc
Source: OQMD via LeMat-Bulk
Functional: PBE-GGA
Structure: optimized geometry

a b c (Å): 4.5855 4.5855 4.5855
angles (deg): 60.00 60.00 60.00
Closest atoms and distances in Å follow each position.
Element x y z (fractional)
Ta: 0.0000 0.0000 0.0000  4 Tc 2.81, 4 Nb 2.81
Nb: 0.2500 0.2500 0.2500  4 Nb 2.81, 4 Ta 2.81
Nb: 0.5000 0.5000 0.5000  4 Tc 2.81, 4 Nb 2.81
Tc: 0.7500 0.7500 0.7500  4 Nb 2.81, 4 Ta 2.81

Values from the calculation:
- formation energy (kJ/mol of formula units) = -80
- space-group type = F-43m, No. 216



9.
Compound: TaNb4Tc5
Source: OQMD via LeMat-Bulk
Functional: PBE-GGA
Structure: optimized geometry

a b c (Å): 3.1881 3.1881 15.9442
angles (deg): 90.00 90.00 90.00
Closest atoms and distances in Å follow each position.
Element x y z (fractional)
Ta: 0.0000 0.0000 0.0000  8 Tc 2.76
Nb: 0.0000 0.0000 0.1999  8 Tc 2.76
Nb: 0.0000 0.0000 0.4000  8 Tc 2.76
Nb: 0.0000 0.0000 0.6000  8 Tc 2.76
Nb: 0.0000 0.0000 0.8001  8 Tc 2.76
Tc: 0.5000 0.5000 0.0996  4 Ta 2.76, 4 Nb 2.76
Tc: 0.5000 0.5000 0.2999  8 Nb 2.76
Tc: 0.5000 0.5000 0.5000  8 Nb 2.76
Tc: 0.5000 0.5000 0.7001  8 Nb 2.76
Tc: 0.5000 0.5000 0.9004  4 Ta 2.76, 4 Nb 2.76

Values from the calculation:
- formation energy (kJ/mol of formula units) = -357
- space-group type = P4/mmm, No. 123



10.
Compound: TaNbTc2
Source: OQMD via LeMat-Bulk
Functional: PBE-GGA
Structure: optimized geometry

a b c (Å): 4.4999 4.4999 4.4999
angles (deg): 60.00 60.00 60.00
Closest atoms and distances in Å follow each position.
Element x y z (fractional)
Ta: 0.0000 0.0000 0.0000  4 Nb 2.76, 4 Tc 2.76
Nb: 0.7500 0.7500 0.7500  4 Tc 2.76, 4 Ta 2.76
Tc: 0.2500 0.2500 0.2500  4 Tc 2.76, 4 Ta 2.76
Tc: 0.5000 0.5000 0.5000  4 Tc 2.76, 4 Nb 2.76

Values from the calculation:
- formation energy (kJ/mol of formula units) = -48
- space-group type = F-43m, No. 216



11.
Compound: TaNbTc
Source: OQMD via LeMat-Bulk
Functional: PBE-GGA
Structure: optimized geometry

a b c (Å): 4.3773 4.3773 4.3773
angles (deg): 60.00 60.00 60.00
Closest atoms and distances in Å follow each position.
Element x y z (fractional)
Ta: 0.0000 0.0000 0.0000  4 Tc 2.68
Nb: 0.5000 0.5000 0.5000  4 Tc 2.68
Tc: 0.7500 0.7500 0.7500  4 Ta 2.68, 4 Nb 2.68

Values from the calculation:
- formation energy (kJ/mol of formula units) = 95
- space-group type = F-43m, No. 216



12.
Compound: TaNbTe4
Source: OQMD via LeMat-Bulk
Functional: PBE-GGA
Structure: optimized geometry

a b c (Å): 3.6893 3.6893 14.3721
angles (deg): 90.00 90.00 120.00
Closest atoms and distances in Å follow each position.
Element x y z (fractional)
Ta: 0.0000 0.0000 0.0000  6 Te 2.81
Nb: 0.6667 0.3333 0.5000  6 Te 2.82
Te: 0.0000 0.0000 0.3716  3 Nb 2.82
Te: 0.0000 0.0000 0.6284  3 Nb 2.82
Te: 0.6667 0.3333 0.1279  3 Ta 2.81
Te: 0.6667 0.3333 0.8721  3 Ta 2.81

Values from the calculation:
- total DFT energy (no corrections) (eV per atom) = -6.135
- space-group type = P-6m2, No. 187



13.
Compound: Ta2NbTe2
Source: OQMD via LeMat-Bulk
Functional: PBE-GGA
Structure: optimized geometry

a b c (Å): 5.8318 5.8318 5.8318
angles (deg): 129.10 129.10 74.85
Closest atoms and distances in Å follow each position.
Element x y z (fractional)
Ta: 0.1297 0.1297 0.0000  1 Ta 2.40
Ta: 0.8703 0.8703 0.0000  1 Ta 2.40
Nb: 0.5000 0.5000 0.0000  8 Te 3.41, 10 Ta 3.43-3.74
Te: 0.2500 0.7500 0.5000  4 Ta 2.74
Te: 0.7500 0.2500 0.5000  4 Ta 2.74

Values from the calculation:
- total DFT energy (no corrections) (eV per atom) = -7.202
- space-group type = I4/mmm, No. 139



14.
Compound: TaNbTe4
Source: OQMD via LeMat-Bulk
Functional: PBE-GGA
Structure: optimized geometry

a b c (Å): 24.9816 3.6962 3.6962
angles (deg): 60.07 90.00 90.00
Closest atoms and distances in Å follow each position.
Element x y z (fractional)
Ta: 0.0000 0.0000 0.0000  6 Te 2.81
Nb: 0.5000 0.5000 0.5000  6 Te 2.82
Te: 0.0734 0.3336 0.3336  3 Ta 2.81
Te: 0.4262 0.8336 0.8336  3 Nb 2.82
Te: 0.5738 0.8336 0.8336  3 Nb 2.82
Te: 0.9266 0.3336 0.3336  3 Ta 2.81

Values from the calculation:
- total DFT energy (no corrections) (eV per atom) = -6.123
- space-group type = Amm2, No. 38



15.
Compound: TaNbTe
Source: OQMD via LeMat-Bulk
Functional: PBE-GGA
Structure: optimized geometry

a b c (Å): 4.5961 4.5961 4.5961
angles (deg): 60.00 60.00 60.00
Closest atoms and distances in Å follow each position.
Element x y z (fractional)
Ta: 0.0000 0.0000 0.0000  4 Nb 2.81, 4 Te 2.81
Nb: 0.7500 0.7500 0.7500  4 Ta 2.81
Te: 0.2500 0.2500 0.2500  4 Ta 2.81

Values from the calculation:
- total DFT energy (no corrections) (eV per atom) = -7.756
- space-group type = F-43m, No. 216



16.
Compound: Ta2NbTe
Source: OQMD via LeMat-Bulk
Functional: PBE-GGA
Structure: optimized geometry

a b c (Å): 4.7473 4.7473 4.7473
angles (deg): 60.00 60.00 60.00
Closest atoms and distances in Å follow each position.
Element x y z (fractional)
Ta: 0.0000 0.0000 0.0000  4 Te 2.91, 4 Ta 2.91
Ta: 0.2500 0.2500 0.2500  4 Ta 2.91, 4 Nb 2.91
Nb: 0.5000 0.5000 0.5000  4 Ta 2.91, 4 Te 2.91
Te: 0.7500 0.7500 0.7500  4 Ta 2.91, 4 Nb 2.91

Values from the calculation:
- total DFT energy (no corrections) (eV per atom) = -8.946
- space-group type = F-43m, No. 216



17.
Compound: TaNbTl
Source: OQMD via LeMat-Bulk
Functional: PBE-GGA
Structure: optimized geometry

a b c (Å): 4.5850 4.5850 4.5850
angles (deg): 60.00 60.00 60.00
Closest atoms and distances in Å follow each position.
Element x y z (fractional)
Ta: 0.0000 0.0000 0.0000  4 Tl 2.81
Nb: 0.5000 0.5000 0.5000  4 Tl 2.81
Tl: 0.7500 0.7500 0.7500  4 Nb 2.81, 4 Ta 2.81

Values from the calculation:
- total DFT energy (no corrections) (eV per atom) = -6.960
- space-group type = F-43m, No. 216



18.
Compound: TmTaNb
Source: OQMD via LeMat-Bulk
Functional: PBE-GGA
Structure: optimized geometry

a b c (Å): 4.6563 4.6563 4.6563
angles (deg): 60.00 60.00 60.00
Closest atoms and distances in Å follow each position.
Element x y z (fractional)
Tm: 0.0000 0.0000 0.0000  4 Nb 2.85
Ta: 0.5000 0.5000 0.5000  4 Nb 2.85
Nb: 0.7500 0.7500 0.7500  4 Ta 2.85, 4 Tm 2.85

Values from the calculation:
- formation energy (kJ/mol of formula units) = 252
- space-group type = F-43m, No. 216



19.
Compound: UTaNb
Source: OQMD via LeMat-Bulk
Functional: PBE-GGA
Structure: optimized geometry

a b c (Å): 4.5252 4.5252 4.5252
angles (deg): 60.00 60.00 60.00
Closest atoms and distances in Å follow each position.
Element x y z (fractional)
U: 0.0000 0.0000 0.0000  4 Ta 2.77, 4 Nb 2.77
Ta: 0.7500 0.7500 0.7500  4 U 2.77
Nb: 0.2500 0.2500 0.2500  4 U 2.77

Values from the calculation:
- formation energy (kJ/mol of formula units) = 354
- space-group type = F-43m, No. 216



20.
Compound: UTaNb
Source: OQMD via LeMat-Bulk
Functional: PBE-GGA
Structure: optimized geometry

a b c (Å): 4.5650 4.5650 4.5650
angles (deg): 60.00 60.00 60.00
Closest atoms and distances in Å follow each position.
Element x y z (fractional)
U: 0.0000 0.0000 0.0000  4 Nb 2.80
Ta: 0.5000 0.5000 0.5000  4 Nb 2.80
Nb: 0.7500 0.7500 0.7500  4 Ta 2.80, 4 U 2.80

Values from the calculation:
- formation energy (kJ/mol of formula units) = 240
- space-group type = F-43m, No. 216